(1)
Entry from Alexandria: AlBiPb2Au after structural relaxation (PBE).

ΔE_f = 0.1917 eV per atom
N(E_F) = 0.484 states/eV per atom

Lattice parameters (Å, degrees): 5.6697 5.6697 4.8427 90.00 90.00 90.00
Space group P4/mmm (No. 123)
One atom of each set of equivalent atoms:
Al 0.0000 0.0000 0.0000 [1 per cell]
Bi 0.5000 0.5000 0.0000 [1 per cell]
Pb 0.0000 0.5000 0.5000 [2 per cell]
Au 0.0000 0.0000 0.5000 [1 per cell]

(2)
Entry from Alexandria: Al2BiPtAu after structural relaxation (PBE).

ΔE_f = 0.4371 eV per atom
N(E_F) = 0.421 states/eV per atom

Lattice parameters (Å, degrees): 4.6832 4.6832 5.7257 90.00 90.00 90.00
Space group P4/mmm (No. 123)
One atom of each set of equivalent atoms:
Al 0.0000 0.5000 0.0000 [2 per cell]
Bi 0.0000 0.0000 0.5000 [1 per cell]
Pt 0.5000 0.5000 0.5000 [1 per cell]
Au 0.0000 0.0000 0.0000 [1 per cell]

Copy entry 1 word for word.
Entry from Alexandria: AlBiPb2Au after structural relaxation (PBE).

ΔE_f = 0.1917 eV per atom
N(E_F) = 0.484 states/eV per atom

Lattice parameters (Å, degrees): 5.6697 5.6697 4.8427 90.00 90.00 90.00
Space group P4/mmm (No. 123)
One atom of each set of equivalent atoms:
Al 0.0000 0.0000 0.0000 [1 per cell]
Bi 0.5000 0.5000 0.0000 [1 per cell]
Pb 0.0000 0.5000 0.5000 [2 per cell]
Au 0.0000 0.0000 0.5000 [1 per cell]